# 1
! TbDyAl4 (PBEsol, optimized geometry); values from VASP
! Electronic total energy = -4.923 eV per atom
! Mass density = 6.01 Mg/m³
&SYSTEM
  ibrav = 0, nat = 6, ntyp = 3
/
ATOMIC_SPECIES
Tb 158.93 Tb.upf
Al 26.98 Al.upf
Dy 162.50 Dy.upf
ATOMIC_POSITIONS crystal
Tb 0.0000 0.0000 0.0000
Al 0.3750 0.8750 0.3750
Al 0.3750 0.3750 0.3750
Al 0.8750 0.3750 0.3750
Al 0.3750 0.3750 0.8750
Dy 0.7500 0.7500 0.7500
CELL_PARAMETERS angstrom
5.5155 0.0000 0.0000
2.7577 4.7766 0.0000
2.7577 1.5922 4.5034

# 2
! TbDy3Al8 (PBEsol, optimized geometry); values from VASP
! Electronic total energy = -4.918 eV per atom
! Mass density = 6.05 Mg/m³
&SYSTEM
  ibrav = 0, nat = 12, ntyp = 3
/
ATOMIC_SPECIES
Tb 158.93 Tb.upf
Al 26.98 Al.upf
Dy 162.50 Dy.upf
ATOMIC_POSITIONS crystal
Tb 0.8125 0.8125 0.5628
Al 0.5001 0.5001 0.4999
Al 0.0000 0.0000 0.0002
Al 0.2500 0.7499 0.7503
Al 0.7501 0.2502 0.2498
Al 0.2500 0.2500 0.7503
Al 0.7501 0.7501 0.2498
Al 0.7499 0.2500 0.7503
Al 0.2502 0.7501 0.2498
Dy 0.3125 0.3125 0.0628
Dy 0.6875 0.6875 0.9374
Dy 0.1876 0.1876 0.4372
CELL_PARAMETERS angstrom
-0.1023 1.7961 5.2081
2.4448 -2.9308 3.9742
8.4547 4.1227 1.6589

The records above give, respectively, magnetic moment values of 0.00 0.00 Bohr magnetons per cell.